[1]
The following is a DFT calculation (PBE) of crystalline Nd9Sm4Mg11 at its relaxed geometry.

a b c (Å): 16.2611 23.4331 3.7420
angles (deg): 90.00 90.00 90.00
With the nearest neighbours (Å) after each atom.
Space group Cmmm (No. 65)
Inequivalent atoms, fractional coordinates:
Nd 0.0000 0.0000 0.0000 x2  4 Sm 3.29
Nd 0.1160 0.2376 0.0000 x8  8 Mg 3.35-3.52, 1 Sm 3.56, 2 Nd 3.74
Nd 0.1183 0.4111 0.0000 x8  8 Mg 3.34-3.40, 1 Sm 3.65, 2 Nd 3.74
Sm 0.1570 0.0883 0.0000 x8  3 Nd 3.29-3.65, 6 Mg 3.30-3.38
Mg 0.0000 0.1388 0.5000 x4  4 Sm 3.38, 6 Nd 3.52-3.75, 2 Mg 3.74
Mg 0.0000 0.3261 0.5000 x4  8 Nd 3.34-3.37, 2 Mg 3.74
Mg 0.0000 0.5000 0.5000 x2  8 Nd 3.40, 4 Mg 3.74-3.77
Mg 0.2321 0.5000 0.5000 x4  4 Sm 3.32, 4 Nd 3.36
Mg 0.2345 0.3231 0.5000 x8  2 Sm 3.30, 6 Nd 3.35-3.38, 1 Mg 3.46

Summary:
formation enthalpy at 0 K	-53.5	meV/atom
calculated total energy	-161.22	eV per cell
calculated volume	29.71	Å³/atom
Fermi-level density of states	1.006	states/eV/atom

[2]
The following is a DFT calculation (PBE) of crystalline Nd6Sm12Mg at its relaxed geometry.

a b c (Å): 12.1564 12.1564 15.2741
angles (deg): 90.00 90.00 120.00
With the nearest neighbours (Å) after each atom.
Space group R-3 (No. 148, hexagonal axes)
Inequivalent atoms, fractional coordinates:
Nd 0.0160 0.5915 0.1871 x18  7 Sm 3.41-3.74, 1 Mg 3.51, 2 Nd 3.55
Sm 0.0038 0.8293 0.3124 x18  4 Nd 3.52-3.74, 4 Sm 3.53-3.70, 1 Mg 3.55
Sm 0.0476 0.1970 0.9162 x18  6 Sm 3.35-3.75, 3 Nd 3.41-3.49
Mg 0.0000 0.0000 0.5000 x3  6 Nd 3.51, 6 Sm 3.55

Summary:
polymorph energy (0 for the lowest one)	0.000	eV per atom
formation enthalpy at 0 K	117.5	meV/atom
calculated total energy	-253.80	eV per cell
calculated volume	34.29	Å³/atom
Fermi-level density of states	1.572	states/eV/atom